This record from the Alexandria database describes a relaxed structure of ZrI. The functional is PBE.

Values from the calculation:
Size of the total moment = 0.0 μB/f.u.
Energy relative to the elements, uncorrected = -56 meV per atom

Cell: 8.609 10.290 10.968 Å, 90.00 90.00 90.00°
Space group Fddd (No. 70, origin choice 2)
Asymmetric unit:
Zr 0.125 0.125 0.259
I 0.080 0.375 0.875